ScMnNi6: PBEsol geometry, meta-GGA SCAN.

a = 6.1895 Å, b = 6.1895 Å, c = 10.1227 Å
α = 90.00°, β = 90.00°, γ = 109.61°
Fractional positions:
Sc 0.0000 0.0000 0.2483
Sc 0.0000 0.0000 0.7517
Sc 0.2465 0.7535 0.5000
Sc 0.7535 0.2465 0.5000
Mn 0.2432 0.7568 0.0000
Mn 0.5000 0.5000 0.2476
Mn 0.5000 0.5000 0.7524
Mn 0.7568 0.2432 0.0000
Ni 0.0000 0.0000 0.0000
Ni 0.0000 0.0000 0.5000
Ni 0.1303 0.3841 0.1206
Ni 0.1303 0.3841 0.8794
Ni 0.1352 0.3811 0.3698
Ni 0.1352 0.3811 0.6302
Ni 0.2538 0.7462 0.2420
Ni 0.2538 0.7462 0.7580
Ni 0.3811 0.1352 0.3698
Ni 0.3811 0.1352 0.6302
Ni 0.3841 0.1303 0.1206
Ni 0.3841 0.1303 0.8794
Ni 0.5000 0.5000 0.0000
Ni 0.5000 0.5000 0.5000
Ni 0.6159 0.8697 0.1206
Ni 0.6159 0.8697 0.8794
Ni 0.6189 0.8648 0.3698
Ni 0.6189 0.8648 0.6302
Ni 0.7462 0.2538 0.2420
Ni 0.7462 0.2538 0.7580
Ni 0.8648 0.6189 0.3698
Ni 0.8648 0.6189 0.6302
Ni 0.8697 0.6159 0.1206
Ni 0.8697 0.6159 0.8794

Properties
- Total magnetic moment: 0.752 μB per atom
- Formation energy: -0.30 eV/atom
- Fermi-level density of states: 16.44 states/eV per cell
- Final energy: -16.492 eV/atom
- Mass density: 8.2 Mg/m³